Material: GeIr
Method: DFT, PBE-GGA
State: relaxed

```
GeIr
1.0
-5.0594 5.0594 1.8912
5.0594 -5.0594 1.8912
5.0594 5.0594 -1.8912
Ge Ir
4 4
direct
0.0774 0.3124 0.3898
0.3124 0.9226 0.2351
0.6876 0.0774 0.7649
0.9226 0.6876 0.6102
0.1553 0.7209 0.8762
0.2791 0.1553 0.4345
0.7209 0.8447 0.5655
0.8447 0.2791 0.1238
```

**DOS(E_F)**: 0.443 states/eV per atom
**VASP energy**: -6.595 eV per atom
**Space-group type**: I4/m (87)
**ΔE_f**: 0.29 eV per formula unit


Material: BeCd2Si
Method: DFT, PBE-GGA
State: relaxed

```
BeCd2Si
1.0
4.8410 -1.3572 0.0000
4.8410 1.3572 0.0000
-2.3289 0.0000 5.6929
Be Cd Si
1 2 1
direct
0.0000 0.0000 0.0000
0.5426 0.5426 0.3889
0.7227 0.7227 0.9853
0.3588 0.3588 0.6635
```

**Energy relative to the elements, uncorrected**: 0.399 eV per atom
**DOS(E_F)**: 0.199 states/eV per atom
**VASP energy**: -2.346 eV per atom
**Space-group type**: Cm (8)


Material: CdPtO2
Method: DFT, PBE-GGA
State: relaxed

```
CdPtO2
1.0
-2.1325 2.1325 6.4390
2.1325 -2.1325 6.4390
2.1325 2.1325 -6.4390
Cd Pt O
2 2 4
direct
0.0000 0.0000 0.0000
0.7500 0.2500 0.5000
0.2500 0.7500 0.5000
0.5000 0.5000 0.0000
0.1751 0.6250 0.0501
0.3750 0.4251 0.5501
0.5749 0.1250 0.9499
0.8750 0.8249 0.4499
```

**Energy relative to the elements, uncorrected**: -0.198 eV per atom
**DOS(E_F)**: 0.287 states/eV per atom
**VASP energy**: -4.416 eV per atom
**Space-group type**: I-42d (122)


Material: BiAsPtC2
Method: DFT, PBE-GGA
State: relaxed

```
BiAsPtC2
1.0
4.0672 0.0000 0.0000
0.0000 4.0672 0.0000
0.0000 0.0000 5.0383
Bi As Pt C
1 1 1 2
direct
0.0000 0.0000 0.0000
0.5000 0.5000 0.5000
0.5000 0.5000 0.0000
0.0000 0.5000 0.5000
0.5000 0.0000 0.5000
```

**DOS(E_F)**: 0.641 states/eV per atom
**VASP energy**: -4.804 eV per atom
**Space-group type**: P4/mmm (123)
**ΔE_f**: 9.00 eV per formula unit


Material: Al2Zn3Cu8
Method: DFT, PBE-GGA
State: relaxed

```
Al2Zn3Cu8
1.0
3.1696 -6.9205 0.0000
3.1696 6.9205 0.0000
0.0000 0.0000 4.1021
Al Zn Cu
2 3 8
direct
0.2284 0.7716 0.0000
0.7716 0.2284 0.0000
0.0000 0.0000 0.0000
0.2988 0.2988 0.5000
0.7012 0.7012 0.5000
0.1287 0.8713 0.5000
0.1952 0.4140 0.0000
0.3284 0.6716 0.5000
0.4140 0.1952 0.0000
0.5860 0.8048 0.0000
0.6716 0.3284 0.5000
0.8048 0.5860 0.0000
0.8713 0.1287 0.5000
```

**DOS(E_F)**: 0.293 states/eV per atom
**VASP energy**: -3.386 eV per atom
**Space-group type**: Cmmm (65)
**ΔE_f**: 0.06 eV per formula unit


Material: B2SBr
Method: DFT, PBE-GGA
State: relaxed

```
B2SBr
1.0
-2.2561 2.2561 5.9241
2.2561 -2.2561 5.9241
2.2561 2.2561 -5.9241
B S Br
4 2 2
direct
0.3750 0.2274 0.3524
0.7726 0.1250 0.1476
0.8750 0.0226 0.6476
0.9774 0.6250 0.8524
0.0000 0.0000 0.0000
0.7500 0.2500 0.5000
0.2500 0.7500 0.5000
0.5000 0.5000 0.0000
```

**Energy relative to the elements, uncorrected**: 1.235 eV per atom
**DOS(E_F)**: 0.546 states/eV per atom
**VASP energy**: -3.554 eV per atom
**Space-group type**: I-42d (122)


Material: AuSeCl
Method: DFT, PBE-GGA
State: relaxed

```
AuSeCl
1.0
0.0000 3.2834 3.2834
3.2834 0.0000 3.2834
3.2834 3.2834 0.0000
Au Se Cl
1 1 1
direct
0.0000 0.0000 0.0000
0.7500 0.7500 0.7500
0.2500 0.2500 0.2500
```

**Energy relative to the elements, uncorrected**: 0.416 eV per atom
**DOS(E_F)**: 0.835 states/eV per atom
**VASP energy**: -2.453 eV per atom
**Space-group type**: F-43m (216)


Material: BaSrW2
Method: DFT, PBE-GGA
State: relaxed

```
BaSrW2
1.0
5.9958 -1.9355 0.0000
5.9958 1.9355 0.0000
-4.3495 0.0000 6.1575
Ba Sr W
1 1 2
direct
0.0000 0.0000 0.0000
0.5000 0.5000 0.5000
0.2548 0.2548 0.6034
0.7452 0.7452 0.3966
```

**DOS(E_F)**: 0.813 states/eV per atom
**VASP energy**: -6.222 eV per atom
**Space-group type**: C2/m (12)
**ΔE_f**: 4.62 eV per formula unit


Material: La2Ni4Sn3Sb
Method: DFT, PBE-GGA
State: relaxed

```
La2Ni4Sn3Sb
1.0
4.5269 0.0000 0.0000
0.0000 4.5269 0.0000
0.0000 0.0000 10.1096
La Ni Sn Sb
2 4 3 1
direct
0.0000 0.5000 0.2396
0.5000 0.0000 0.7604
0.0000 0.0000 0.0000
0.0000 0.5000 0.6230
0.5000 0.0000 0.3770
0.5000 0.5000 0.0000
0.0000 0.5000 0.8757
0.5000 0.0000 0.1243
0.5000 0.5000 0.5000
0.0000 0.0000 0.5000
```

**Energy relative to the elements, uncorrected**: -0.585 eV per atom
**DOS(E_F)**: 0.685 states/eV per atom
**VASP energy**: -5.496 eV per atom
**Space-group type**: P-4m2 (115)


Material: Mn2Re2W
Method: DFT, PBE-GGA
State: relaxed

```
Mn2Re2W
1.0
7.0731 0.0000 0.0000
0.0000 7.0731 0.0000
0.0000 0.0000 2.7520
Mn Re W
4 4 2
direct
0.1287 0.3713 0.0000
0.3713 0.8713 0.0000
0.6287 0.1287 0.0000
0.8713 0.6287 0.0000
0.1686 0.6686 0.5000
0.3314 0.1686 0.5000
0.6686 0.8314 0.5000
0.8314 0.3314 0.5000
0.0000 0.0000 0.0000
0.5000 0.5000 0.0000
```

**DOS(E_F)**: 0.941 states/eV per atom
**VASP energy**: -11.062 eV per atom
**Space-group type**: P4/mbm (127)
**ΔE_f**: 0.88 eV per formula unit


Material: TmZrZnAg
Method: DFT, PBE-GGA
State: relaxed

```
TmZrZnAg
1.0
0.0000 3.4793 3.4793
3.4793 0.0000 3.4793
3.4793 3.4793 0.0000
Tm Zr Zn Ag
1 1 1 1
direct
0.0000 0.0000 0.0000
0.5000 0.5000 0.5000
0.2500 0.2500 0.2500
0.7500 0.7500 0.7500
```

**DOS(E_F)**: 1.107 states/eV per atom
**VASP energy**: -4.455 eV per atom
**Space-group type**: F-43m (216)
**ΔE_f**: -0.67 eV per formula unit


Material: Zn3CrTe
Method: DFT, PBE-GGA
State: relaxed

```
Zn3CrTe
1.0
4.9527 0.0000 0.0000
0.0000 4.9527 0.0000
0.0000 0.0000 4.9527
Zn Cr Te
3 1 1
direct
0.0000 0.0000 0.5000
0.0000 0.5000 0.0000
0.5000 0.0000 0.0000
0.0000 0.0000 0.0000
0.5000 0.5000 0.5000
```

**Energy relative to the elements, uncorrected**: 0.666 eV per atom
**DOS(E_F)**: 0.649 states/eV per atom
**VASP energy**: -2.652 eV per atom
**Space-group type**: Pm-3m (221)